# 1
A relaxed Ba4Na2Cd crystal. Source: the Alexandria database, functional PBE.

Cell lengths 6.5644, 6.5644, 19.9082 Å; angles 90.00, 90.00, 90.00 degrees
Last column: nearest neighbours and their distance in Å.
Space group I4/mmm (No. 139)
Symmetry-distinct sites (fractional):
Ba (0.0000, 0.0000, 0.1752)  1 Cd 3.49
Ba (0.0000, 0.5000, 0.0000)  2 Cd 3.28
Na (0.0000, 0.0000, 0.3752)  5 Ba 3.98-4.12
Cd (0.0000, 0.0000, 0.0000)  6 Ba 3.28-3.49

Summary:
* energy above the lowest structure with this stoichiometry: 58 meV/atom
* Fermi-level density of states: 17.4 states/eV per cell

---

# 2
A relaxed Zr2ZnAs crystal. Source: the Alexandria database, functional PBE.

Cell lengths 6.7863, 6.7863, 6.7863 Å; angles 90.00, 90.00, 90.00 degrees
Last column: nearest neighbours and their distance in Å.
Space group F-43m (No. 216)
Symmetry-distinct sites (fractional):
Zr (0.0000, 0.0000, 0.0000)  4 Zr 2.94, 4 Zn 2.94
Zr (0.2500, 0.2500, 0.2500)  4 Zr 2.94, 4 As 2.94
Zn (0.2500, 0.2500, 0.7500)  4 Zr 2.94, 4 As 2.94
As (0.0000, 0.0000, 0.5000)  4 Zr 2.94, 4 Zn 2.94

Summary:
* calculated total energy: -89.9 eV for the cell shown
* Fermi-level density of states: 15.3 states/eV per cell

---

# 3
A relaxed Os2RhSe crystal. Source: the Alexandria database, functional PBE.

Cell lengths 2.8726, 4.3694, 9.5691 Å; angles 90.00, 90.00, 90.00 degrees
Last column: nearest neighbours and their distance in Å.
Space group Immm (No. 71)
Symmetry-distinct sites (fractional):
Os (0.0000, 0.0000, 0.2172)  2 Se 2.53, 4 Os 2.69
Rh (0.0000, 0.5000, 0.0000)  4 Se 2.61, 2 Rh 2.87
Se (0.0000, 0.5000, 0.5000)  4 Os 2.53, 4 Rh 2.61

Summary:
* calculated total energy: -62.6 eV for the cell shown
* Fermi-level density of states: 8.7 states/eV per cell

---

# 4
A relaxed ErHg2Pt crystal. Source: the Alexandria database, functional PBE.

Cell lengths 3.2348, 3.2348, 31.2872 Å; angles 90.00, 90.00, 120.00 degrees
Last column: nearest neighbours and their distance in Å.
Space group R-3m (No. 166, hexagonal axes)
Symmetry-distinct sites (fractional):
Er (0.0000, 0.0000, 0.0000)  2 Hg 3.02, 6 Er 3.23
Hg (0.0000, 0.0000, 0.0964)  3 Pt 2.88, 1 Er 3.02
Pt (0.0000, 0.0000, 0.5000)  6 Hg 2.88

Summary:
* calculated total energy: -31.1 eV for the cell shown
* Fermi-level density of states: 10.5 states/eV per cell

---

# 5
A relaxed AgBi2Cl crystal. Source: the Alexandria database, functional PBE.

Cell lengths 7.3535, 7.3535, 7.3535 Å; angles 90.00, 90.00, 90.00 degrees
Last column: nearest neighbours and their distance in Å.
Space group Fm-3m (No. 225)
Symmetry-distinct sites (fractional):
Ag (0.0000, 0.0000, 0.0000)  8 Bi 3.18
Bi (0.2500, 0.2500, 0.2500)  4 Cl 3.18, 4 Ag 3.18
Cl (0.0000, 0.0000, 0.5000)  8 Bi 3.18

Summary:
* calculated total energy: -49.6 eV for the cell shown
* Fermi-level density of states: 7.2 states/eV per cell

---

# 6
A relaxed TaZnIr crystal. Source: the Alexandria database, functional PBE.

Cell lengths 2.9668, 2.9668, 10.6145 Å; angles 90.00, 90.00, 90.00 degrees
Last column: nearest neighbours and their distance in Å.
Space group I4mm (No. 107)
Symmetry-distinct sites (fractional):
Ta (0.0000, 0.0000, 0.0000)  4 Ir 2.72, 4 Zn 2.84, 4 Ta 2.97
Zn (0.0000, 0.0000, 0.6808)  4 Ir 2.67, 4 Ta 2.84, 4 Zn 2.97
Ir (0.0000, 0.0000, 0.3362)  4 Zn 2.67, 4 Ta 2.72, 4 Ir 2.97

Summary:
* calculated total energy: -45.5 eV for the cell shown
* Fermi-level density of states: 5.3 states/eV per cell

---

# 7
A relaxed GaFe2Si2 crystal. Source: the Alexandria database, functional PBE.

Cell lengths 6.5607, 6.5607, 2.7464 Å; angles 90.00, 90.00, 90.00 degrees
Last column: nearest neighbours and their distance in Å.
Space group P4/mbm (No. 127)
Symmetry-distinct sites (fractional):
Ga (0.0000, 0.0000, 0.0000)  4 Fe 2.49, 2 Ga 2.75
Fe (0.1520, 0.3480, 0.0000)  6 Si 2.35-2.37, 2 Ga 2.49
Si (0.1422, 0.6422, 0.5000)  6 Fe 2.35-2.37

Summary:
* energy above the lowest structure with this stoichiometry: 0 meV/atom
* Fermi-level density of states: 5.9 states/eV per cell

---

# 8
A relaxed RbAlTe2 crystal. Source: the Alexandria database, functional PBE.

Cell lengths 4.5039, 4.5039, 28.5659 Å; angles 90.00, 90.00, 120.00 degrees
Last column: nearest neighbours and their distance in Å.
Space group R3m (No. 160, hexagonal axes)
Symmetry-distinct sites (fractional):
Rb (0.0000, 0.0000, 0.0000)  4 Te 3.39-3.74
Al (0.0000, 0.0000, 0.5042)  1 Te 2.47
Te (0.0000, 0.0000, 0.1311)  3 Al 2.84
Te (0.0000, 0.0000, 0.5905)  1 Al 2.47

Summary:
* calculated total energy: -38.7 eV for the cell shown
* Fermi-level density of states: 0.3 states/eV per cell

---

# 9
A relaxed CaLaCd2 crystal. Source: the Alexandria database, functional PBE.

Cell lengths 4.0792, 4.0792, 7.3552 Å; angles 90.00, 90.00, 90.00 degrees
Last column: nearest neighbours and their distance in Å.
Space group P4mm (No. 99)
Symmetry-distinct sites (fractional):
Ca (0.0000, 0.0000, 0.0000)  5 Cd 3.25-3.26
La (0.5000, 0.5000, 0.6687)  5 Cd 3.33-3.40
Cd (0.0000, 0.0000, 0.4419)  1 Ca 3.25, 4 La 3.33, 4 Cd 3.37
Cd (0.5000, 0.5000, 0.2060)  4 Ca 3.26, 4 Cd 3.37, 1 La 3.40

Summary:
* energy above the lowest structure with this stoichiometry: 212 meV/atom
* Fermi-level density of states: 3.8 states/eV per cell

---

# 10
A relaxed NaCrTe2N crystal. Source: the Alexandria database, functional PBE.

Cell lengths 5.6930, 5.6930, 3.5177 Å; angles 90.00, 90.00, 90.00 degrees
Last column: nearest neighbours and their distance in Å.
Space group P4/mmm (No. 123)
Symmetry-distinct sites (fractional):
Na (0.0000, 0.0000, 0.0000)  8 Te 3.35, 2 Na 3.52
Cr (0.5000, 0.5000, 0.5000)  2 N 1.76
Te (0.0000, 0.5000, 0.5000)  2 Cr 2.85
N (0.5000, 0.5000, 0.0000)  2 Cr 1.76

Summary:
* energy above the lowest structure with this stoichiometry: 0 meV/atom
* Fermi-level density of states: 3.0 states/eV per cell

---

# 11
A relaxed GeWSe2Br crystal. Source: the Alexandria database, functional PBE.

Cell lengths 4.9279, 4.9279, 5.2269 Å; angles 90.00, 90.00, 90.00 degrees
Last column: nearest neighbours and their distance in Å.
Space group P4/mmm (No. 123)
Symmetry-distinct sites (fractional):
Ge (0.0000, 0.0000, 0.0000)  4 Br 3.48, 8 Se 3.59
W (0.5000, 0.5000, 0.5000)  4 Se 2.46, 2 Br 2.61
Se (0.0000, 0.5000, 0.5000)  2 W 2.46
Br (0.5000, 0.5000, 0.0000)  2 W 2.61

Summary:
* energy above the lowest structure with this stoichiometry: 0 meV/atom
* Fermi-level density of states: 5.4 states/eV per cell

---

# 12
A relaxed TcRuPt crystal. Source: the Alexandria database, functional PBE.

Cell lengths 4.3415, 4.3415, 2.7516 Å; angles 90.00, 90.00, 120.00 degrees
Last column: nearest neighbours and their distance in Å.
Space group P3m1 (No. 156)
Symmetry-distinct sites (fractional):
Tc (0.0000, 0.0000, 0.0000)  3 Ru 2.51, 2 Tc 2.75
Ru (0.3333, 0.6667, 0.9586)  3 Tc 2.51, 2 Ru 2.75
Pt (0.6667, 0.3333, 0.4811)  2 Pt 2.75, 6 Ru 2.83-2.89, 6 Tc 2.83-2.88

Summary:
* energy above the lowest structure with this stoichiometry: 213 meV/atom
* Fermi-level density of states: 4.3 states/eV per cell